# 1
First-principles (GGA-PBEsol) data for crystalline Sc2InP at its relaxed geometry, as listed in Alexandria via LeMat-Bulk.

a b c (Å): 3.5899 3.5899 7.8444
angles (deg): 76.77 76.77 60.00
Atoms (fractional coordinates):
Sc (0.7320, 0.7320, 0.8041)
Sc (0.2680, 0.2680, 0.1959)
P (0.0000, 0.0000, 0.0000)
In (0.5000, 0.5000, 0.5000)

Calculated values
- Size of the total moment: 0.000 μB per atom
- Space group: No. 166
- E_form: -0.967 eV/atom
- Density: 4.64 Mg/m³
- Energy relative to the lowest polymorph listed for this composition: 0 meV/atom
- DOS at the Fermi energy: 2.3 states/eV/cell

=====

# 2
First-principles (GGA-PBEsol) data for crystalline Sc3InP4 at its relaxed geometry, as listed in Alexandria via LeMat-Bulk.

a b c (Å): 4.1509 4.1509 13.7620
angles (deg): 81.33 81.33 60.00
Atoms (fractional coordinates):
Sc (0.9998, 0.9998, 0.0005)
Sc (0.2500, 0.2500, 0.2500)
Sc (0.5007, 0.5007, 0.4980)
In (0.7497, 0.7497, 0.7508)
P (0.9373, 0.9373, 0.1882)
P (0.1875, 0.1875, 0.4375)
P (0.4380, 0.4380, 0.6860)
P (0.6870, 0.6870, 0.9391)

Calculated values
- Size of the total moment: 0.000 μB per atom
- Space group: No. 160
- E_form: -0.708 eV/atom
- Density: 3.07 Mg/m³

=====

# 3
First-principles (GGA-PBEsol) data for crystalline Sc2InP at its relaxed geometry, as listed in Alexandria via LeMat-Bulk.

a b c (Å): 3.8354 4.4486 4.4486
angles (deg): 90.00 90.00 90.00
Atoms (fractional coordinates):
In (0.5000, 0.5000, 0.5000)
P (0.5000, 0.0000, 0.0000)
Sc (0.0000, 0.0000, 0.5000)
Sc (0.0000, 0.5000, 0.0000)

Calculated values
- Size of the total moment: 0.002 μB per atom
- Space group: No. 123
- E_form: -0.575 eV/atom
- Density: 5.16 Mg/m³
- Energy relative to the lowest polymorph listed for this composition: 392 meV/atom
- DOS at the Fermi energy: 4.1 states/eV/cell